# 1
VASP calculation (PBE-GGA) on an optimized crystal structure of LiPmTlPd.

## Properties
ΔH_f (0 K) (meV/atom): -465
DFT total energy (eV per cell): -64.33

The structure in CIF format:
```
data_LiPmTlPd
_symmetry_space_group_name_H-M 'F -4 3 m'
_symmetry_Int_Tables_number 216
_symmetry_space_group_name_Hall 'F -4 2 3'
_cell_length_a 6.947
_cell_length_b 6.947
_cell_length_c 6.947
_cell_angle_alpha 90.00
_cell_angle_beta 90.00
_cell_angle_gamma 90.00
loop_
_atom_site_label
_atom_site_type_symbol
_atom_site_fract_x
_atom_site_fract_y
_atom_site_fract_z
_atom_site_occupancy
Li1 Li 0.000 0.000 0.000 1
Pm1 Pm 0.250 0.250 0.750 1
Tl1 Tl 0.250 0.250 0.250 1
Pd1 Pd 0.000 0.000 0.500 1
```

# 2
VASP calculation (PBE-GGA) on an optimized crystal structure of KIr2Cl.

## Properties
Energy relative to the elements, uncorrected (eV per formula unit): 2.555
DFT total energy (eV per cell): -72.45

The structure in CIF format:
```
data_KIr2Cl
_symmetry_space_group_name_H-M 'I 41/a m d'
_symmetry_Int_Tables_number 141
_cell_length_a 5.213
_cell_length_b 5.213
_cell_length_c 15.071
_cell_angle_alpha 90.00
_cell_angle_beta 90.00
_cell_angle_gamma 90.00
loop_
_symmetry_equiv_pos_as_xyz
'x,y,z'
'-x,-y,-z'
'-y+1/4,x+3/4,z+1/4'
'y+1/4,-x+3/4,-z+1/4'
'-x+1/2,-y,z+1/2'
'x+1/2,y,-z+1/2'
'y+1/4,-x+1/4,z+3/4'
'-y+1/4,x+1/4,-z+3/4'
'x,-y,-z'
'-x,y,z'
'-y+1/4,-x+1/4,-z+3/4'
'y+1/4,x+1/4,z+3/4'
'-x+1/2,y,-z+1/2'
'x+1/2,-y,z+1/2'
'y+1/4,x+3/4,-z+1/4'
'-y+1/4,-x+3/4,z+1/4'
'x+1/2,y+1/2,z+1/2'
'-x+1/2,-y+1/2,-z+1/2'
'-y+3/4,x+1/4,z+3/4'
'y+3/4,-x+1/4,-z+3/4'
'-x,-y+1/2,z'
'x,y+1/2,-z'
'y+3/4,-x+3/4,z+1/4'
'-y+3/4,x+3/4,-z+1/4'
'x+1/2,-y+1/2,-z+1/2'
'-x+1/2,y+1/2,z+1/2'
'-y+3/4,-x+3/4,-z+1/4'
'y+3/4,x+3/4,z+1/4'
'-x,y+1/2,-z'
'x,-y+1/2,z'
'y+3/4,x+1/4,-z+3/4'
'-y+3/4,-x+1/4,z+3/4'
loop_
_atom_site_label
_atom_site_type_symbol
_atom_site_fract_x
_atom_site_fract_y
_atom_site_fract_z
_atom_site_occupancy
K1 K 0.000 0.250 0.375 1
Ir1 Ir 0.000 0.000 0.000 1
Cl1 Cl 0.000 0.250 0.875 1
```